{
  "formula": "Mg6Pd2Pt",
  "functional": "PBE-GGA",
  "state": "relaxed",
  "delta_e_f_ev_per_atom": -0.54,
  "polymorph_energy_mev_per_atom": 0.0,
  "n_ef_per_ev_cell": 2.5,
  "lattice_angstrom": [[2.309, -3.999, 0.000], [2.309, 3.999, 0.000], [0.000, 0.000, 8.744]],
  "species": ["Mg", "Mg", "Mg", "Mg", "Mg", "Mg", "Pt", "Pd", "Pd"],
  "fractional_positions": [[0.000, 0.000, 0.203], [0.667, 0.333, 0.586], [0.333, 0.667, 0.414], [0.667, 0.333, 0.936], [0.000, 0.000, 0.797], [0.333, 0.667, 0.064], [0.000, 0.000, 0.500], [0.667, 0.333, 0.249], [0.333, 0.667, 0.751]]
}

---

{
  "formula": "ZnSb2HI",
  "functional": "PBE-GGA",
  "state": "relaxed",
  "polymorph_energy_mev_per_atom": 419.2,
  "n_ef_per_ev_cell": 5.0,
  "lattice_angstrom": [[5.243, 0.000, 0.000], [0.000, 5.243, 0.000], [0.000, 0.000, 5.957]],
  "species": ["Sb", "Sb", "I", "Zn", "H"],
  "fractional_positions": [[0.000, 0.500, 0.000], [0.500, 0.000, 0.000], [0.000, 0.000, 0.500], [0.000, 0.000, 0.000], [0.500, 0.500, 0.500]]
}

---

{
  "formula": "CaZrFeHg2",
  "functional": "PBE-GGA",
  "state": "relaxed",
  "delta_e_f_ev_per_atom": 1.82,
  "n_ef_per_ev_cell": 6.2,
  "lattice_angstrom": [[5.323, 0.000, 0.000], [0.000, 5.355, 0.000], [0.000, 0.000, 5.323]],
  "species": ["Ca", "Hg", "Hg", "Zr", "Fe"],
  "fractional_positions": [[0.000, 0.000, 0.000], [0.000, 0.000, 0.500], [0.500, 0.000, 0.000], [0.000, 0.500, 0.000], [0.500, 0.500, 0.500]]
}

---

{
  "formula": "Tb2PmAl3",
  "functional": "PBE-GGA",
  "state": "relaxed",
  "delta_e_f_ev_per_atom": -0.39,
  "n_ef_per_ev_cell": 2.3,
  "lattice_angstrom": [[-0.984, -3.169, 1.475], [3.197, -0.197, 1.710], [-4.281, 5.342, 8.617]],
  "species": ["Tb", "Tb", "Al", "Al", "Al", "Pm"],
  "fractional_positions": [[0.500, 0.500, 0.836], [0.500, 0.500, 0.164], [0.000, 0.000, 0.000], [0.000, 0.000, 0.674], [0.000, 0.000, 0.326], [0.500, 0.500, 0.500]]
}

---

{
  "formula": "NaIn2I4",
  "functional": "PBE-GGA",
  "state": "relaxed",
  "polymorph_energy_mev_per_atom": 0.0,
  "e_form_raw_ev_per_fu": -4.3,
  "n_ef_per_ev_cell": 5.3,
  "lattice_angstrom": [[4.660, 0.005, 0.000], [2.326, 7.690, 3.505], [0.000, -0.131, 7.792]],
  "species": ["I", "I", "I", "I", "In", "In", "Na"],
  "fractional_positions": [[0.630, 0.740, 0.984], [0.370, 0.260, 0.016], [0.110, 0.778, 0.457], [0.890, 0.222, 0.543], [0.263, 0.474, 0.285], [0.737, 0.526, 0.715], [0.000, 0.000, 0.000]]
}

---

{
  "formula": "La2PmCu2",
  "functional": "PBE-GGA",
  "state": "relaxed",
  "delta_e_f_ev_per_atom": -0.08,
  "polymorph_energy_mev_per_atom": 0.0,
  "n_ef_per_ev_cell": 12.8,
  "lattice_angstrom": [[3.609, 0.000, -0.487], [0.000, 5.207, 0.000], [0.009, 0.000, 13.884]],
  "species": ["Cu", "Cu", "Cu", "Cu", "La", "La", "La", "La", "Pm", "Pm"],
  "fractional_positions": [[0.363, 0.250, 0.729], [0.637, 0.750, 0.271], [0.551, 0.250, 0.104], [0.449, 0.750, 0.896], [0.045, 0.750, 0.092], [0.955, 0.250, 0.908], [0.772, 0.250, 0.544], [0.228, 0.750, 0.456], [0.143, 0.250, 0.280], [0.857, 0.750, 0.720]]
}

---

{
  "formula": "Rb3Ge2Sb5",
  "functional": "PBE-GGA",
  "state": "relaxed",
  "e_form_raw_ev_per_fu": -0.9,
  "n_ef_per_ev_cell": 6.3,
  "lattice_angstrom": [[-5.170, -3.751, 4.670], [3.693, -0.616, 10.298], [-3.200, 6.399, 8.299]],
  "species": ["Rb", "Rb", "Rb", "Rb", "Rb", "Rb", "Sb", "Sb", "Sb", "Sb", "Sb", "Sb", "Sb", "Sb", "Sb", "Sb", "Ge", "Ge", "Ge", "Ge"],
  "fractional_positions": [[0.750, 0.000, 0.000], [0.357, 0.406, 0.879], [0.643, 0.594, 0.121], [0.250, 0.000, 0.000], [0.143, 0.121, 0.594], [0.857, 0.879, 0.406], [0.872, 0.506, 0.751], [0.128, 0.494, 0.249], [0.372, 0.751, 0.506], [0.628, 0.249, 0.494], [0.250, 0.500, 0.500], [0.994, 0.756, 0.756], [0.006, 0.244, 0.244], [0.494, 0.756, 0.756], [0.750, 0.500, 0.500], [0.506, 0.244, 0.244], [0.648, 0.951, 0.753], [0.852, 0.247, 0.049], [0.352, 0.049, 0.247], [0.148, 0.753, 0.951]]
}

---

{
  "formula": "GdEr2Au",
  "functional": "PBE-GGA",
  "state": "relaxed",
  "delta_e_f_ev_per_atom": -0.26,
  "polymorph_energy_mev_per_atom": 149.1,
  "n_ef_per_ev_cell": 5.8,
  "lattice_angstrom": [[4.567, 0.000, 0.000], [0.000, 4.769, 0.000], [0.000, 0.000, 4.769]],
  "species": ["Au", "Er", "Er", "Gd"],
  "fractional_positions": [[0.500, 0.000, 0.000], [0.000, 0.500, 0.000], [0.000, 0.000, 0.500], [0.500, 0.500, 0.500]]
}

---

{
  "formula": "Zn2PbBr",
  "functional": "PBE-GGA",
  "state": "relaxed",
  "polymorph_energy_mev_per_atom": 11.3,
  "e_form_raw_ev_per_fu": -0.3,
  "n_ef_per_ev_cell": 0.2,
  "lattice_angstrom": [[-0.150, 1.395, 3.554], [-1.953, -3.087, 1.130], [6.113, -3.299, 1.553]],
  "species": ["Zn", "Zn", "Br", "Pb"],
  "fractional_positions": [[0.500, 0.500, 0.234], [0.000, 0.000, 0.016], [0.000, 0.000, 0.412], [0.500, 0.500, 0.838]]
}

---

{
  "formula": "FeRe2Se",
  "functional": "PBE-GGA",
  "state": "relaxed",
  "e_form_raw_ev_per_fu": 2.1,
  "n_ef_per_ev_cell": 3.2,
  "lattice_angstrom": [[-2.899, 2.746, 1.720], [1.494, -0.916, 3.979], [1.960, 2.211, -0.227]],
  "species": ["Re", "Re", "Se", "Fe"],
  "fractional_positions": [[0.000, 0.000, 0.000], [0.500, 0.500, 0.000], [0.500, 0.000, 0.500], [0.000, 0.500, 0.500]]
}

---

{
  "formula": "RbNaS",
  "functional": "PBE-GGA",
  "state": "relaxed",
  "e_form_raw_ev_per_fu": -2.9,
  "n_ef_per_ev_cell": 0.0,
  "lattice_angstrom": [[-3.174, 2.640, 2.494], [-1.239, -3.802, 2.449], [3.483, 2.742, 1.529]],
  "species": ["Na", "Rb", "S"],
  "fractional_positions": [[0.166, 0.000, 0.000], [0.667, 0.667, 0.333], [0.167, 0.333, 0.667]]
}

---

{
  "formula": "La2Sm2Zn3",
  "functional": "PBE-GGA",
  "state": "relaxed",
  "delta_e_f_ev_per_atom": -0.20,
  "n_ef_per_ev_cell": 9.7,
  "lattice_angstrom": [[4.958, 0.006, -1.381], [-2.667, 4.390, -0.003], [-0.171, -0.104, 8.938]],
  "species": ["Zn", "Zn", "Zn", "Sm", "Sm", "La", "La"],
  "fractional_positions": [[0.000, 0.000, 0.000], [0.487, 0.744, 0.233], [0.513, 0.256, 0.767], [0.247, 0.623, 0.869], [0.753, 0.377, 0.131], [0.746, 0.873, 0.614], [0.254, 0.127, 0.386]]
}

---

{
  "formula": "Ce2TeH2Cl",
  "functional": "PBE-GGA",
  "state": "relaxed",
  "dft_energy_ev_per_atom": -5.05,
  "n_ef_per_ev_cell": 12.4,
  "lattice_angstrom": [[-2.052, 0.860, 3.415], [-2.010, -0.543, -3.503], [-0.663, -8.051, 1.629]],
  "species": ["Ce", "Ce", "Te", "Cl", "H", "H"],
  "fractional_positions": [[0.333, 0.667, 0.264], [0.667, 0.333, 0.736], [0.000, 0.000, 0.000], [0.000, 0.000, 0.500], [0.333, 0.667, 0.723], [0.667, 0.333, 0.277]]
}

---

{
  "formula": "CaCdCo",
  "functional": "PBE-GGA",
  "state": "relaxed",
  "delta_e_f_ev_per_atom": 0.81,
  "n_ef_per_ev_cell": 7.8,
  "lattice_angstrom": [[-3.669, 1.453, 2.850], [-0.884, -2.305, 4.195], [0.935, 2.210, 4.235]],
  "species": ["Co", "Cd", "Ca"],
  "fractional_positions": [[0.500, 0.500, 0.500], [0.000, 0.000, 0.000], [0.750, 0.750, 0.750]]
}

---

{
  "formula": "CdGaCuAu",
  "functional": "PBE-GGA",
  "state": "relaxed",
  "delta_e_f_ev_per_atom": -0.01,
  "n_ef_per_ev_cell": 1.7,
  "lattice_angstrom": [[-4.207, -1.755, 0.590], [-0.504, -4.414, 1.177], [-1.460, -1.102, 4.217]],
  "species": ["Cd", "Ga", "Au", "Cu"],
  "fractional_positions": [[0.750, 0.750, 0.750], [0.250, 0.250, 0.250], [0.000, 0.000, 0.000], [0.500, 0.500, 0.500]]
}

---

{
  "formula": "CsAlGe2",
  "functional": "PBE-GGA",
  "state": "relaxed",
  "delta_e_f_ev_per_atom": 0.12,
  "n_ef_per_ev_cell": 3.2,
  "lattice_angstrom": [[-5.161, 2.200, 0.027], [-2.122, -4.959, -1.544], [-4.516, -3.531, 7.353]],
  "species": ["Cs", "Cs", "Ge", "Ge", "Ge", "Ge", "Al", "Al"],
  "fractional_positions": [[0.000, 0.000, 0.000], [0.750, 0.250, 0.500], [0.875, 0.625, 0.750], [0.375, 0.625, 0.750], [0.375, 0.625, 0.250], [0.375, 0.125, 0.250], [0.250, 0.750, 0.500], [0.500, 0.500, 0.000]]
}

---

{
  "formula": "BRu",
  "functional": "PBE-GGA",
  "state": "relaxed",
  "delta_e_f_ev_per_atom": 0.04,
  "n_ef_per_ev_cell": 36.5,
  "lattice_angstrom": [[-2.744, -4.537, -1.371], [5.749, -2.710, -2.541], [1.820, -3.461, 7.808]],
  "species": ["Ru", "Ru", "Ru", "Ru", "Ru", "Ru", "Ru", "Ru", "Ru", "Ru", "Ru", "Ru", "Ru", "Ru", "Ru", "Ru", "B", "B", "B", "B", "B", "B", "B", "B", "B", "B", "B", "B", "B", "B", "B", "B"],
  "fractional_positions": [[0.500, 0.789, 0.000], [0.500, 0.289, 0.500], [0.250, 0.539, 0.750], [0.250, 0.961, 0.750], [0.000, 0.789, 0.500], [0.250, 0.039, 0.250], [0.750, 0.539, 0.250], [0.500, 0.211, 0.000], [0.750, 0.039, 0.750], [0.000, 0.289, 0.000], [0.750, 0.461, 0.750], [0.250, 0.461, 0.250], [0.000, 0.711, 0.000], [0.750, 0.961, 0.250], [0.500, 0.711, 0.500], [0.000, 0.211, 0.500], [0.330, 0.500, 0.000], [0.330, 0.000, 0.500], [0.170, 0.500, 0.500], [0.830, 0.500, 0.500], [0.670, 0.500, 0.000], [0.830, 0.000, 0.000], [0.080, 0.750, 0.250], [0.920, 0.250, 0.250], [0.580, 0.750, 0.750], [0.670, 0.000, 0.500], [0.420, 0.250, 0.750], [0.920, 0.750, 0.750], [0.420, 0.750, 0.250], [0.080, 0.250, 0.750], [0.170, 0.000, 0.000], [0.580, 0.250, 0.250]]
}

---

{
  "formula": "NdPa2C",
  "functional": "PBE-GGA",
  "state": "relaxed",
  "delta_e_f_ev_per_atom": 0.24,
  "polymorph_energy_mev_per_atom": 232.5,
  "n_ef_per_ev_cell": 6.5,
  "lattice_angstrom": [[3.125, 0.000, 0.000], [0.000, 3.125, 0.000], [0.000, 0.000, 8.818]],
  "species": ["Pa", "Pa", "Nd", "C"],
  "fractional_positions": [[0.000, 0.000, 0.839], [0.000, 0.000, 0.161], [0.500, 0.500, 0.500], [0.500, 0.500, 0.000]]
}

---

{
  "formula": "Re2NiBr",
  "functional": "PBE-GGA",
  "state": "relaxed",
  "polymorph_energy_mev_per_atom": 138.8,
  "e_form_raw_ev_per_fu": 2.4,
  "n_ef_per_ev_cell": 4.8,
  "lattice_angstrom": [[-2.671, 0.081, -1.390], [-1.384, -0.500, 2.629], [-0.372, 6.904, 1.117]],
  "species": ["Br", "Re", "Re", "Ni"],
  "fractional_positions": [[0.000, 0.000, 0.519], [0.500, 0.500, 0.214], [0.000, 0.000, 0.004], [0.500, 0.500, 0.763]]
}

---

{
  "formula": "LaScOs2",
  "functional": "PBE-GGA",
  "state": "relaxed",
  "delta_e_f_ev_per_atom": 0.10,
  "polymorph_energy_mev_per_atom": 52.8,
  "n_ef_per_ev_cell": 2.3,
  "lattice_angstrom": [[-5.411, -1.459, -2.183], [-0.748, -2.674, -5.336], [2.326, -0.062, 5.547]],
  "species": ["Os", "Os", "Sc", "La"],
  "fractional_positions": [[0.974, 0.974, 0.000], [0.776, 0.276, 0.500], [0.517, 0.517, 0.000], [0.234, 0.734, 0.500]]
}